VASP calculation (PBE-GGA) on Tl3GaPb2 after structural relaxation.

Final energy   -34.7 eV for the cell shown
Calculated formation energy   0.034 eV/atom
D(E_F)   2.3 states/eV/f.u.

Cell: 3.5238 10.0681 11.0428 Å, 67.64 80.82 79.92°
Last column: nearest neighbours and their distance in Å.
Fractional positions:
Tl 0.7522 0.1234 0.3722  2 Ga 3.22, 8 Tl 3.45-3.59, 2 Pb 3.47
Tl 0.9195 0.7479 0.4131  2 Ga 3.31, 9 Tl 3.50-3.62, 1 Pb 3.58
Tl 0.5935 0.5048 0.3081  7 Tl 3.50-3.62, 4 Pb 3.50-3.64
Tl 0.2478 0.8766 0.6278  2 Ga 3.22, 8 Tl 3.45-3.59, 2 Pb 3.47
Tl 0.4065 0.4952 0.6919  7 Tl 3.50-3.62, 4 Pb 3.50-3.64
Tl 0.0805 0.2521 0.5869  2 Ga 3.31, 9 Tl 3.50-3.62, 1 Pb 3.58
Ga 0.5950 0.9983 0.8118  4 Tl 3.22-3.31, 5 Pb 3.22-3.33, 2 Ga 3.52
Ga 0.4050 0.0017 0.1882  4 Tl 3.22-3.31, 5 Pb 3.22-3.33, 2 Ga 3.52
Pb 0.7333 0.6404 0.8930  1 Ga 3.33, 6 Pb 3.40-3.52, 4 Tl 3.47-3.50
Pb 0.2667 0.3596 0.1070  1 Ga 3.33, 6 Pb 3.40-3.52, 4 Tl 3.47-3.50
Pb 0.0620 0.8073 0.0686  4 Ga 3.22-3.27, 5 Pb 3.44-3.56, 1 Tl 3.58
Pb 0.9380 0.1927 0.9314  4 Ga 3.22-3.27, 5 Pb 3.44-3.56, 1 Tl 3.58


VASP calculation (PBE-GGA) on TlGaPb2 after structural relaxation.

Final energy   -12.6 eV for the cell shown
Calculated formation energy   0.054 eV/atom
D(E_F)   1.4 states/eV/f.u.
Relative energy among the computed polymorphs   0.012 eV/atom

Cell: 4.8898 4.8327 4.8327 Å, 90.00 90.00 90.00°
Last column: nearest neighbours and their distance in Å.
Fractional positions:
Pb 0.0000 0.0000 0.5000  4 Pb 3.42, 4 Tl 3.44, 4 Ga 3.44
Pb 0.0000 0.5000 0.0000  4 Pb 3.42, 4 Tl 3.44, 4 Ga 3.44
Tl 0.5000 0.0000 0.0000  4 Ga 3.42, 8 Pb 3.44
Ga 0.5000 0.5000 0.5000  4 Tl 3.42, 8 Pb 3.44


VASP calculation (PBE-GGA) on TlGa2Pb2 after structural relaxation.

Final energy   -15.5 eV for the cell shown
Calculated formation energy   0.058 eV/atom
D(E_F)   2.5 states/eV/f.u.
Relative energy among the computed polymorphs   0.000 eV/atom

Cell: 3.9725 3.9725 9.3102 Å, 77.68 77.68 90.00°
Last column: nearest neighbours and their distance in Å.
Fractional positions:
Pb 0.3801 0.3801 0.2397  4 Ga 3.05
Pb 0.6199 0.6199 0.7603  4 Ga 3.05
Tl 0.0000 0.0000 0.0000  8 Pb 3.52
Ga 0.7500 0.2500 0.5000  4 Ga 2.81, 4 Pb 3.05
Ga 0.2500 0.7500 0.5000  4 Ga 2.81, 4 Pb 3.05


VASP calculation (PBE-GGA) on Tl2GaPb9 after structural relaxation.

Final energy   -40.1 eV for the cell shown
Calculated formation energy   0.084 eV/atom
D(E_F)   6.9 states/eV/f.u.

Cell: 7.4380 7.4380 9.6095 Å, 66.71 66.71 52.20°
Last column: nearest neighbours and their distance in Å.
Fractional positions:
Tl 0.0252 0.0252 0.6523  1 Ga 3.21, 1 Tl 3.28, 3 Pb 3.43-3.51
Tl 0.9748 0.9748 0.3477  1 Ga 3.21, 1 Tl 3.28, 3 Pb 3.43-3.51
Ga 0.0000 0.0000 0.0000  2 Pb 3.06, 2 Tl 3.21
Pb 0.2227 0.2227 0.0180  1 Ga 3.06, 3 Pb 3.32-3.34
Pb 0.7773 0.7773 0.9820  1 Ga 3.06, 3 Pb 3.32-3.34
Pb 0.5000 0.5000 0.5000  6 Pb 3.22-3.46
Pb 0.4995 0.4995 0.8358  5 Pb 3.16-3.39
Pb 0.4971 0.9973 0.6830  7 Pb 3.27-3.50, 1 Tl 3.51
Pb 0.9973 0.4971 0.6830  7 Pb 3.27-3.50, 1 Tl 3.51
Pb 0.5005 0.5005 0.1642  5 Pb 3.16-3.39
Pb 0.0027 0.5029 0.3170  7 Pb 3.27-3.50, 1 Tl 3.51
Pb 0.5029 0.0027 0.3170  7 Pb 3.27-3.50, 1 Tl 3.51


VASP calculation (PBE-GGA) on Tl2GaPb6 after structural relaxation.

Final energy   -29.4 eV for the cell shown
Calculated formation energy   0.062 eV/atom
D(E_F)   5.2 states/eV/f.u.
Relative energy among the computed polymorphs   0.020 eV/atom

Cell: 6.3664 7.1827 7.1827 Å, 60.00 90.14 90.14°
Last column: nearest neighbours and their distance in Å.
Fractional positions:
Tl 0.8118 0.6672 0.6672  12 Pb 3.66-3.80
Tl 0.1882 0.3328 0.3328  12 Pb 3.66-3.80
Ga 0.0000 0.0000 0.0000  6 Pb 2.90
Pb 0.3031 0.3481 0.8257  1 Ga 2.90
Pb 0.3024 0.8260 0.8260  1 Ga 2.90
Pb 0.3031 0.8257 0.3481  1 Ga 2.90
Pb 0.6969 0.6519 0.1743  1 Ga 2.90
Pb 0.6976 0.1740 0.1740  1 Ga 2.90
Pb 0.6969 0.1743 0.6519  1 Ga 2.90


VASP calculation (PBE-GGA) on Tl2GaPb after structural relaxation.

Final energy   -11.1 eV for the cell shown
Calculated formation energy   0.083 eV/atom
D(E_F)   1.8 states/eV/f.u.
Relative energy among the computed polymorphs   0.018 eV/atom

Cell: 3.4939 3.4939 10.9608 Å, 80.83 80.83 60.00°
Last column: nearest neighbours and their distance in Å.
Fractional positions:
Tl 0.0775 0.0775 0.7675  3 Ga 3.20, 3 Pb 3.49, 6 Tl 3.49
Tl 0.2562 0.2562 0.2313  3 Ga 3.22, 6 Tl 3.49, 3 Pb 3.56
Ga 0.6672 0.6672 0.9983  6 Tl 3.20-3.22, 6 Ga 3.49
Pb 0.4990 0.4990 0.5030  6 Tl 3.49-3.56, 6 Pb 3.49